No. 1
First-principles (PBE-GGA) data for a relaxed Li8Zn6Au crystal, as listed in the Alexandria database.

Structure (extended XYZ):
```
15
Lattice="3.9618 2.2873 4.6332 -3.9618 2.2873 4.6332 0.0000 -4.5747 4.6332" Properties=species:S:1:pos:R:3 pbc="T T T"
Li 0.0000 0.0000 1.5496
Li 0.0000 -1.6555 4.6278
Li -1.4337 0.8278 4.6278
Li -1.4337 -0.8278 9.2717
Li 1.4337 0.8278 4.6278
Li 1.4337 -0.8278 9.2717
Li 0.0000 1.6555 9.2717
Li 0.0000 0.0000 12.3499
Zn -1.3389 -2.3190 6.9498
Zn -2.6778 0.0000 6.9498
Zn 1.3389 -2.3190 6.9498
Zn -1.3389 2.3190 6.9498
Zn 2.6778 0.0000 6.9498
Zn 1.3389 2.3190 6.9498
Au 0.0000 0.0000 6.9498
```

Summary:
- Crystal system: trigonal
- V: 251.9 Å³/cell
- Total energy: -1.925 eV/atom

---

No. 2
First-principles (PBE-GGA) data for a relaxed Li3Zn7Au2 crystal, as listed in the Alexandria database.

Structure (extended XYZ):
```
12
Lattice="4.2591 0.0000 0.0000 0.0000 3.0997 0.0000 -2.0249 0.0000 14.6672" Properties=species:S:1:pos:R:3 pbc="T T T"
Li 0.0000 0.0000 0.0000
Li 0.0710 1.5499 9.4224
Li 2.1632 1.5499 5.2448
Zn 0.0082 1.5499 2.0049
Zn 0.0541 0.0000 6.6981
Zn 0.0893 0.0000 12.3020
Zn 2.1296 1.5499 0.0000
Zn 2.1450 0.0000 2.3652
Zn 2.1801 0.0000 7.9691
Zn 2.2261 1.5499 12.6622
Au 0.0273 0.0000 4.1589
Au 2.2070 0.0000 10.5083
```

Summary:
- Crystal system: monoclinic
- V: 193.6 Å³/cell
- Total energy: -1.958 eV/atom

---

No. 3
First-principles (PBE-GGA) data for a relaxed LiZn5Au2 crystal, as listed in the Alexandria database.

Structure (extended XYZ):
```
16
Lattice="2.8875 0.0000 0.0000 0.0000 8.7380 0.0000 0.0000 0.0000 10.2103" Properties=species:S:1:pos:R:3 pbc="T T T"
Li 0.0000 0.0000 0.0000
Li 1.4438 4.3690 5.1052
Zn 0.0000 1.9650 3.7813
Zn 0.0000 1.9650 6.4290
Zn 0.0000 4.3690 0.0000
Zn 0.0000 6.7730 3.7813
Zn 0.0000 6.7730 6.4290
Zn 1.4438 0.0000 5.1052
Zn 1.4438 2.4040 1.3239
Zn 1.4438 2.4040 8.8864
Zn 1.4438 6.3340 1.3239
Zn 1.4438 6.3340 8.8864
Au 0.0000 4.3690 2.7403
Au 0.0000 4.3690 7.4701
Au 1.4438 0.0000 2.3649
Au 1.4438 0.0000 7.8454
```

Summary:
- Crystal system: orthorhombic
- V: 257.6 Å³/cell
- Total energy: -2.048 eV/atom

---

No. 4
First-principles (PBE-GGA) data for a relaxed Li3Zn2Au crystal, as listed in the Alexandria database.

Structure (extended XYZ):
```
12
Lattice="0.0000 4.3317 7.9968 2.6021 0.0000 7.9968 2.6021 4.3317 0.0000" Properties=species:S:1:pos:R:3 pbc="T T T"
Li 2.6021 1.9891 6.6098
Li 2.6021 4.3317 2.9871
Li 2.6021 1.9891 9.3837
Li 2.6021 6.6743 6.6098
Li 2.6021 4.3317 13.0064
Li 2.6021 6.6743 9.3837
Zn 1.3010 2.1659 3.9984
Zn 3.8998 4.3317 7.9968
Zn 1.3043 4.3317 7.9968
Zn 3.9031 6.4976 11.9952
Au 2.6021 4.3317 5.5710
Au 2.6021 4.3317 10.4226
```

Summary:
- Crystal system: orthorhombic
- V: 180.3 Å³/cell
- Total energy: -2.216 eV/atom

---

No. 5
First-principles (PBE-GGA) data for a relaxed LiZnAu2 crystal, as listed in the Alexandria database.

Structure (extended XYZ):
```
4
Lattice="3.0180 0.0000 0.0000 0.0000 3.8926 0.0000 0.0000 0.0000 5.5498" Properties=species:S:1:pos:R:3 pbc="T T T"
Li 0.0000 0.0000 0.0000
Zn 1.5090 1.9463 1.5282
Au 0.0000 0.0000 2.6897
Au 1.5090 1.9463 4.4212
```

Summary:
- Crystal system: orthorhombic
- V: 65.2 Å³/cell
- Total energy: -2.783 eV/atom

---

No. 6
First-principles (PBE-GGA) data for a relaxed Li7ZnAu2 crystal, as listed in the Alexandria database.

Structure (extended XYZ):
```
10
Lattice="4.4315 0.0000 0.0000 -2.2157 3.8378 0.0000 0.0000 0.0000 9.7739" Properties=species:S:1:pos:R:3 pbc="T T T"
Li 0.0000 0.0000 0.0000
Li 0.0000 0.0000 2.3472
Li 0.0000 0.0000 7.2640
Li 0.0000 2.5585 3.9298
Li 0.0000 2.5585 7.9692
Li 2.2157 1.2793 2.0451
Li 2.2157 1.2793 5.7179
Zn 2.2157 1.2793 9.0346
Au 0.0000 0.0000 4.8058
Au 0.0000 2.5585 0.9458
```

Summary:
- Crystal system: trigonal
- V: 166.2 Å³/cell
- Total energy: -2.389 eV/atom

---

No. 7
First-principles (PBE-GGA) data for a relaxed Li2Zn7Au2 crystal, as listed in the Alexandria database.

Structure (extended XYZ):
```
11
Lattice="4.5153 -4.3857 0.0000 4.5153 4.3857 0.0000 -2.2907 0.0000 4.4981" Properties=species:S:1:pos:R:3 pbc="T T T"
Li 4.5153 2.6600 0.0000
Li 4.5153 -2.6600 0.0000
Zn -1.1454 0.0000 2.2491
Zn 2.2046 2.2585 1.5419
Zn 2.0672 0.0000 2.9092
Zn 4.5353 2.2585 2.9562
Zn 2.2046 -2.2585 1.5419
Zn 4.6727 0.0000 1.5889
Zn 4.5353 -2.2585 2.9562
Au 2.3488 0.0000 0.1708
Au 4.3911 0.0000 4.3273
```

Summary:
- Crystal system: monoclinic
- V: 178.2 Å³/cell
- Total energy: -1.978 eV/atom

---

No. 8
First-principles (PBE-GGA) data for a relaxed Li3ZnAu12 crystal, as listed in the Alexandria database.

Structure (extended XYZ):
```
16
Lattice="4.0679 0.0000 0.0000 0.0000 4.0679 0.0000 0.0000 0.0000 16.3790" Properties=species:S:1:pos:R:3 pbc="T T T"
Li 0.0000 0.0000 0.0000
Li 0.0000 0.0000 4.0673
Li 0.0000 0.0000 12.3116
Zn 0.0000 0.0000 8.1895
Au 0.0000 2.0339 2.0382
Au 0.0000 2.0339 6.1143
Au 0.0000 2.0339 10.2646
Au 0.0000 2.0339 14.3408
Au 2.0339 0.0000 2.0382
Au 2.0339 0.0000 6.1143
Au 2.0339 0.0000 10.2646
Au 2.0339 0.0000 14.3408
Au 2.0339 2.0339 0.0000
Au 2.0339 2.0339 4.0777
Au 2.0339 2.0339 8.1895
Au 2.0339 2.0339 12.3013
```

Summary:
- Crystal system: tetragonal
- V: 271.0 Å³/cell
- Total energy: -3.193 eV/atom

---

no.,total moment (μB per cell),Fermi-level density of states (states/eV/f.u.),ΔE_f (eV per atom)
1,0.00,4.74,-0.18
2,0.00,3.17,-0.19
3,0.00,1.58,-0.19
4,0.00,2.06,-0.29
5,0.00,1.21,-0.35
6,0.00,4.43,-0.27
7,0.00,2.97,-0.22
8,0.00,4.01,-0.30